This record from Alexandria via LeMat-Bulk describes crystalline SnBr3Cl at its relaxed geometry. The functional is PBE.

```
5
Lattice="5.4163 0.0000 0.0000 0.0000 5.4163 0.0000 0.0000 0.0000 5.4163" Properties=species:S:1:pos:R:3 pbc="T T T"
Sn 0.0000 0.0000 0.0000
Br 0.0000 2.7082 2.7082
Br 2.7082 0.0000 2.7082
Br 2.7082 2.7082 0.0000
Cl 2.7082 2.7082 2.7082
```

Formation energy (no corrections), eV per atom: 0.267
M_tot, μB/f.u.: 0.81
VASP energy, eV/atom: -1.91

This record from Alexandria via LeMat-Bulk describes crystalline Sn4Br3Cl4 at its relaxed geometry. The functional is PBE.

```
11
Lattice="6.9560 0.0000 0.0000 3.2557 6.9737 0.0000 0.2062 1.4019 8.4587" Properties=species:S:1:pos:R:3 pbc="T T T"
Sn 1.3858 0.8948 1.3804
Sn 3.3780 4.7735 5.3088
Sn 7.0399 3.6020 3.1498
Sn 9.0321 7.4808 7.0783
Br 1.6278 3.4868 0.0000
Br 4.7992 7.5183 7.4399
Br 5.6187 0.8573 1.0188
Cl 2.3615 2.5713 4.0545
Cl 4.5209 5.4721 3.0501
Cl 5.8969 2.9034 5.4086
Cl 8.0564 5.8043 4.4042
```

Formation energy (no corrections), eV per atom: -0.745
M_tot, μB/f.u.: 0.00
VASP energy, eV/atom: -3.33

This record from Alexandria via LeMat-Bulk describes crystalline SnBrCl3 at its relaxed geometry. The functional is PBE.

```
10
Lattice="8.4972 0.0000 0.0000 0.0000 7.2657 0.0000 0.0000 0.0000 7.0089" Properties=species:S:1:pos:R:3 pbc="T T T"
Sn 0.0000 1.3226 0.0000
Sn 4.2486 5.9431 3.5044
Br 0.0000 6.2690 0.8223
Br 4.2486 0.9967 4.3267
Cl 0.0000 1.4000 4.6898
Cl 1.8815 2.4475 0.7700
Cl 2.3671 4.8182 4.2745
Cl 4.2486 5.8657 1.1854
Cl 6.1301 4.8182 4.2745
Cl 6.6157 2.4475 0.7700
```

Formation energy (no corrections), eV per atom: -0.863
M_tot, μB/f.u.: 0.01
VASP energy, eV/atom: -3.11

This record from Alexandria via LeMat-Bulk describes crystalline SnBrCl3 at its relaxed geometry. The functional is PBE.

```
5
Lattice="5.2588 0.0000 0.0000 0.0000 5.2588 0.0000 0.0000 0.0000 5.2588" Properties=species:S:1:pos:R:3 pbc="T T T"
Sn 0.0000 0.0000 0.0000
Br 2.6294 2.6294 2.6294
Cl 0.0000 0.0000 2.6294
Cl 0.0000 2.6294 0.0000
Cl 2.6294 0.0000 0.0000
```

Formation energy (no corrections), eV per atom: -0.383
M_tot, μB/f.u.: 1.08
VASP energy, eV/atom: -2.63

This record from Alexandria via LeMat-Bulk describes crystalline SnBrCl4 at its relaxed geometry. The functional is PBE.

```
12
Lattice="7.6056 0.0000 0.0000 0.0000 7.6056 0.0000 0.0000 0.0000 9.8984" Properties=species:S:1:pos:R:3 pbc="T T T"
Sn 0.0000 0.0000 0.0000
Sn 3.8028 3.8028 4.9492
Br 0.0000 3.8028 2.4746
Br 3.8028 0.0000 7.4238
Cl 0.6868 5.8394 8.5617
Cl 1.7661 0.6868 1.3366
Cl 2.0366 3.1159 6.2858
Cl 3.1159 5.5689 3.6125
Cl 4.4896 2.0366 3.6125
Cl 5.5689 4.4896 6.2858
Cl 5.8394 6.9187 1.3366
Cl 6.9187 1.7661 8.5617
```

Formation energy (no corrections), eV per atom: -0.554
M_tot, μB/f.u.: 1.00
VASP energy, eV/atom: -2.73

This record from Alexandria via LeMat-Bulk describes crystalline Sn2BrCl3 at its relaxed geometry. The functional is PBE.

```
12
Lattice="9.4565 -2.1396 0.0000 9.4565 2.1396 0.0000 -7.1484 0.0000 10.7376" Properties=species:S:1:pos:R:3 pbc="T T T"
Sn -0.5734 0.0000 4.6277
Sn 5.9805 0.0000 1.3924
Sn 5.7842 0.0000 9.3452
Sn 12.3381 0.0000 6.1099
Br -3.1255 0.0000 7.4297
Br 14.8901 0.0000 3.3079
Cl 3.4169 0.0000 0.7065
Cl 2.0160 0.0000 4.2145
Cl 2.9093 0.0000 7.8970
Cl 8.8553 0.0000 2.8407
Cl 9.7486 0.0000 6.5231
Cl 8.3477 0.0000 10.0311
```

Formation energy (no corrections), eV per atom: -0.933
M_tot, μB/f.u.: 0.00
VASP energy, eV/atom: -3.47

formation energy (no corrections) of number 6 (Sn2BrCl3)? -0.933 eV per atom

What did the second record say?
This record from Alexandria via LeMat-Bulk describes crystalline Sn4Br3Cl4 at its relaxed geometry. The functional is PBE.

```
11
Lattice="6.9560 0.0000 0.0000 3.2557 6.9737 0.0000 0.2062 1.4019 8.4587" Properties=species:S:1:pos:R:3 pbc="T T T"
Sn 1.3858 0.8948 1.3804
Sn 3.3780 4.7735 5.3088
Sn 7.0399 3.6020 3.1498
Sn 9.0321 7.4808 7.0783
Br 1.6278 3.4868 0.0000
Br 4.7992 7.5183 7.4399
Br 5.6187 0.8573 1.0188
Cl 2.3615 2.5713 4.0545
Cl 4.5209 5.4721 3.0501
Cl 5.8969 2.9034 5.4086
Cl 8.0564 5.8043 4.4042
```

Formation energy (no corrections), eV per atom: -0.745
M_tot, μB/f.u.: 0.00
VASP energy, eV/atom: -3.33

Which value of VASP energy does entry 4 give? -2.63 eV/atom